<i>
First-principles (PBE-GGA) data for a relaxed Tm2GeSb crystal, as listed in Alexandria.

Summary:
As for the volume: 105.64 Å³/f.u. The value obtained for the density is 8.4 Mg/m³. The magnetization is 0.00 μB/cell.

Geometry as CIF:
```
data_Tm2GeSb
_chemical_formula_sum 'Tm6 Ge3 Sb3'
_cell_length_a 4.1220
_cell_length_b 4.1220
_cell_length_c 21.5384
_cell_angle_alpha 90.00
_cell_angle_beta 90.00
_cell_angle_gamma 120.00
_symmetry_space_group_name_H-M 'R -3 m'
_symmetry_Int_Tables_number 166
_symmetry_space_group_name_Hall '-R 3 2"'
loop_
_atom_site_label
_atom_site_type_symbol
_atom_site_fract_x
_atom_site_fract_y
_atom_site_fract_z
_atom_site_occupancy
Tm1 Tm 0.0000 0.0000 0.2444 1
Ge1 Ge 0.0000 0.0000 0.5000 1
Sb1 Sb 0.0000 0.0000 0.0000 1
```

<ii>
First-principles (PBE-GGA) data for a relaxed Tm2GeSb crystal, as listed in Alexandria.

Summary:
As for the volume: 101.54 Å³/f.u. The value obtained for the density is 8.7 Mg/m³. The magnetization is 0.00 μB/cell.

Geometry as CIF:
```
data_Tm2GeSb
_chemical_formula_sum 'Tm8 Ge4 Sb4'
_cell_length_a 4.308
_cell_length_b 22.862
_cell_length_c 4.124
_cell_angle_alpha 90.00
_cell_angle_beta 90.00
_cell_angle_gamma 90.00
_symmetry_space_group_name_H-M 'C m c m'
_symmetry_Int_Tables_number 63
_symmetry_space_group_name_Hall '-C 2c 2'
loop_
_atom_site_label
_atom_site_type_symbol
_atom_site_fract_x
_atom_site_fract_y
_atom_site_fract_z
_atom_site_occupancy
Tm1 Tm 0.000 0.060 0.250 1
Tm2 Tm 0.000 0.324 0.250 1
Ge1 Ge 0.000 0.457 0.250 1
Sb1 Sb 0.000 0.190 0.250 1
```

Most stable: <ii>

<i>
First-principles (PBE-GGA) data for a relaxed U2GeSb crystal, as listed in Alexandria.

Summary:
As for the volume: 94.90 Å³/f.u. The value obtained for the density is 11.7 Mg/m³. The magnetization is 5.79 μB/cell.

Geometry as CIF:
```
data_U2GeSb
_chemical_formula_sum 'U2 Ge1 Sb1'
_cell_length_a 3.503
_cell_length_b 3.503
_cell_length_c 7.734
_cell_angle_alpha 90.00
_cell_angle_beta 90.00
_cell_angle_gamma 90.00
_symmetry_space_group_name_H-M 'P 4/m m m'
_symmetry_Int_Tables_number 123
_symmetry_space_group_name_Hall '-P 4 2'
loop_
_atom_site_label
_atom_site_type_symbol
_atom_site_fract_x
_atom_site_fract_y
_atom_site_fract_z
_atom_site_occupancy
U1 U 0.000 0.000 0.229 1
Ge1 Ge 0.500 0.500 0.000 1
Sb1 Sb 0.500 0.500 0.500 1
```

<ii>
First-principles (PBE-GGA) data for a relaxed U2GeSb crystal, as listed in Alexandria.

Summary:
As for the volume: 88.75 Å³/f.u. The value obtained for the density is 12.5 Mg/m³. The magnetization is 12.76 μB/cell.

Geometry as CIF:
```
data_U2GeSb
_chemical_formula_sum 'U6 Ge3 Sb3'
_cell_length_a 3.1030
_cell_length_b 3.1030
_cell_length_c 31.9312
_cell_angle_alpha 90.00
_cell_angle_beta 90.00
_cell_angle_gamma 120.00
_symmetry_space_group_name_H-M 'R -3 m'
_symmetry_Int_Tables_number 166
_symmetry_space_group_name_Hall '-R 3 2"'
loop_
_atom_site_label
_atom_site_type_symbol
_atom_site_fract_x
_atom_site_fract_y
_atom_site_fract_z
_atom_site_occupancy
U1 U 0.0000 0.0000 0.2457 1
Ge1 Ge 0.0000 0.0000 0.5000 1
Sb1 Sb 0.0000 0.0000 0.0000 1
```

<iii>
First-principles (PBE-GGA) data for a relaxed U2GeSb crystal, as listed in Alexandria.

Summary:
As for the volume: 108.41 Å³/f.u. The value obtained for the density is 10.3 Mg/m³. The magnetization is 14.74 μB/cell.

Geometry as CIF:
```
data_U2GeSb
_chemical_formula_sum 'U6 Ge3 Sb3'
_cell_length_a 4.0655
_cell_length_b 4.0655
_cell_length_c 22.7217
_cell_angle_alpha 90.00
_cell_angle_beta 90.00
_cell_angle_gamma 120.00
_symmetry_space_group_name_H-M 'R 3 m'
_symmetry_Int_Tables_number 160
_symmetry_space_group_name_Hall 'R 3 -2"'
loop_
_atom_site_label
_atom_site_type_symbol
_atom_site_fract_x
_atom_site_fract_y
_atom_site_fract_z
_atom_site_occupancy
U1 U 0.0000 0.0000 0.0000 1
U2 U 0.0000 0.0000 0.1828 1
Ge1 Ge 0.0000 0.0000 0.5930 1
Sb1 Sb 0.0000 0.0000 0.4241 1
```

Most stable: <i>

<i>
First-principles (PBE-GGA) data for a relaxed UGe2Sb crystal, as listed in Alexandria.

Summary:
As for the volume: 82.85 Å³/f.u. The value obtained for the density is 10.1 Mg/m³. The magnetization is 0.96 μB/cell.

Geometry as CIF:
```
data_UGe2Sb
_chemical_formula_sum 'U1 Ge2 Sb1'
_cell_length_a 4.438
_cell_length_b 4.438
_cell_length_c 4.206
_cell_angle_alpha 90.00
_cell_angle_beta 90.00
_cell_angle_gamma 90.00
_symmetry_space_group_name_H-M 'P 4/m m m'
_symmetry_Int_Tables_number 123
_symmetry_space_group_name_Hall '-P 4 2'
loop_
_atom_site_label
_atom_site_type_symbol
_atom_site_fract_x
_atom_site_fract_y
_atom_site_fract_z
_atom_site_occupancy
U1 U 0.000 0.000 0.000 1
Ge1 Ge 0.000 0.500 0.500 1
Sb1 Sb 0.500 0.500 0.000 1
```

<ii>
First-principles (PBE-GGA) data for a relaxed UGe2Sb crystal, as listed in Alexandria.

Summary:
As for the volume: 88.72 Å³/f.u. The value obtained for the density is 9.5 Mg/m³. The magnetization is 4.47 μB/cell.

Geometry as CIF:
```
data_UGe2Sb
_chemical_formula_sum 'U3 Ge6 Sb3'
_cell_length_a 3.0930
_cell_length_b 3.0930
_cell_length_c 32.1270
_cell_angle_alpha 90.00
_cell_angle_beta 90.00
_cell_angle_gamma 120.00
_symmetry_space_group_name_H-M 'R -3 m'
_symmetry_Int_Tables_number 166
_symmetry_space_group_name_Hall '-R 3 2"'
loop_
_atom_site_label
_atom_site_type_symbol
_atom_site_fract_x
_atom_site_fract_y
_atom_site_fract_z
_atom_site_occupancy
U1 U 0.0000 0.0000 0.0000 1
Ge1 Ge 0.0000 0.0000 0.4105 1
Sb1 Sb 0.0000 0.0000 0.5000 1
```

Most stable: <i>

<i>
First-principles (PBE-GGA) data for a relaxed V2GeSb crystal, as listed in Alexandria.

Summary:
As for the volume: 64.58 Å³/f.u. The value obtained for the density is 7.6 Mg/m³. The magnetization is 0.00 μB/cell.

Geometry as CIF:
```
data_V2GeSb
_chemical_formula_sum 'V8 Ge4 Sb4'
_cell_length_a 6.369
_cell_length_b 6.369
_cell_length_c 6.369
_cell_angle_alpha 90.00
_cell_angle_beta 90.00
_cell_angle_gamma 90.00
_symmetry_space_group_name_H-M 'F m -3 m'
_symmetry_Int_Tables_number 225
_symmetry_space_group_name_Hall '-F 4 2 3'
loop_
_atom_site_label
_atom_site_type_symbol
_atom_site_fract_x
_atom_site_fract_y
_atom_site_fract_z
_atom_site_occupancy
V1 V 0.250 0.250 0.250 1
Ge1 Ge 0.000 0.000 0.000 1
Sb1 Sb 0.000 0.000 0.500 1
```

<ii>
First-principles (PBE-GGA) data for a relaxed V2GeSb crystal, as listed in Alexandria.

Summary:
As for the volume: 71.42 Å³/f.u. The value obtained for the density is 6.9 Mg/m³. The magnetization is 0.00 μB/cell.

Geometry as CIF:
```
data_V2GeSb
_chemical_formula_sum 'V6 Ge3 Sb3'
_cell_length_a 3.6544
_cell_length_b 3.6544
_cell_length_c 18.5259
_cell_angle_alpha 90.00
_cell_angle_beta 90.00
_cell_angle_gamma 120.00
_symmetry_space_group_name_H-M 'R -3 m'
_symmetry_Int_Tables_number 166
_symmetry_space_group_name_Hall '-R 3 2"'
loop_
_atom_site_label
_atom_site_type_symbol
_atom_site_fract_x
_atom_site_fract_y
_atom_site_fract_z
_atom_site_occupancy
V1 V 0.0000 0.0000 0.2340 1
Ge1 Ge 0.0000 0.0000 0.5000 1
Sb1 Sb 0.0000 0.0000 0.0000 1
```

<iii>
First-principles (PBE-GGA) data for a relaxed V2GeSb crystal, as listed in Alexandria.

Summary:
As for the volume: 71.96 Å³/f.u. The value obtained for the density is 6.8 Mg/m³. The magnetization is 0.00 μB/cell.

Geometry as CIF:
```
data_V2GeSb
_chemical_formula_sum 'V8 Ge4 Sb4'
_cell_length_a 3.954
_cell_length_b 3.954
_cell_length_c 18.409
_cell_angle_alpha 90.00
_cell_angle_beta 90.00
_cell_angle_gamma 90.00
_symmetry_space_group_name_H-M 'I -4 2 d'
_symmetry_Int_Tables_number 122
_symmetry_space_group_name_Hall 'I -4 2bw'
loop_
_atom_site_label
_atom_site_type_symbol
_atom_site_fract_x
_atom_site_fract_y
_atom_site_fract_z
_atom_site_occupancy
V1 V 0.210 0.250 0.125 1
Ge1 Ge 0.000 0.000 0.000 1
Sb1 Sb 0.000 0.000 0.500 1
```

Most stable: <i>

<i>
First-principles (PBE-GGA) data for a relaxed GeSb2W2 crystal, as listed in Alexandria.

Summary:
As for the volume: 113.71 Å³/f.u. The value obtained for the density is 10.0 Mg/m³. The magnetization is 0.00 μB/cell.

Geometry as CIF:
```
data_GeSb2W2
_chemical_formula_sum 'Ge2 Sb4 W4'
_cell_length_a 3.749
_cell_length_b 3.749
_cell_length_c 16.179
_cell_angle_alpha 90.00
_cell_angle_beta 90.00
_cell_angle_gamma 90.00
_symmetry_space_group_name_H-M 'I 4/m m m'
_symmetry_Int_Tables_number 139
_symmetry_space_group_name_Hall '-I 4 2'
loop_
_atom_site_label
_atom_site_type_symbol
_atom_site_fract_x
_atom_site_fract_y
_atom_site_fract_z
_atom_site_occupancy
Ge1 Ge 0.000 0.000 0.000 1
Sb1 Sb 0.000 0.000 0.384 1
W1 W 0.000 0.500 0.250 1
```

<ii>
First-principles (PBE-GGA) data for a relaxed GeSb2W2 crystal, as listed in Alexandria.

Summary:
As for the volume: 100.70 Å³/f.u. The value obtained for the density is 11.3 Mg/m³. The magnetization is 0.00 μB/cell.

Geometry as CIF:
```
data_GeSb2W2
_chemical_formula_sum 'Ge2 Sb4 W4'
_cell_length_a 8.054
_cell_length_b 8.054
_cell_length_c 3.105
_cell_angle_alpha 90.00
_cell_angle_beta 90.00
_cell_angle_gamma 90.00
_symmetry_space_group_name_H-M 'P 4/m b m'
_symmetry_Int_Tables_number 127
_symmetry_space_group_name_Hall '-P 4 2ab'
loop_
_atom_site_label
_atom_site_type_symbol
_atom_site_fract_x
_atom_site_fract_y
_atom_site_fract_z
_atom_site_occupancy
Ge1 Ge 0.000 0.000 0.000 1
Sb1 Sb 0.150 0.350 0.000 1
W1 W 0.142 0.642 0.500 1
```

Most stable: <i>

<i>
First-principles (PBE-GGA) data for a relaxed GeSbW2 crystal, as listed in Alexandria.

Summary:
As for the volume: 78.62 Å³/f.u. The value obtained for the density is 11.9 Mg/m³. The magnetization is 0.00 μB/cell.

Geometry as CIF:
```
data_GeSbW2
_chemical_formula_sum 'Ge4 Sb4 W8'
_cell_length_a 4.111
_cell_length_b 4.111
_cell_length_c 18.611
_cell_angle_alpha 90.00
_cell_angle_beta 90.00
_cell_angle_gamma 90.00
_symmetry_space_group_name_H-M 'I -4 2 d'
_symmetry_Int_Tables_number 122
_symmetry_space_group_name_Hall 'I -4 2bw'
loop_
_atom_site_label
_atom_site_type_symbol
_atom_site_fract_x
_atom_site_fract_y
_atom_site_fract_z
_atom_site_occupancy
Ge1 Ge 0.000 0.000 0.000 1
Sb1 Sb 0.000 0.000 0.500 1
W1 W 0.193 0.250 0.125 1
```

<ii>
First-principles (PBE-GGA) data for a relaxed GeSbW2 crystal, as listed in Alexandria.

Summary:
As for the volume: 68.14 Å³/f.u. The value obtained for the density is 13.7 Mg/m³. The magnetization is 0.00 μB/cell.

Geometry as CIF:
```
data_GeSbW2
_chemical_formula_sum 'Ge4 Sb4 W8'
_cell_length_a 6.484
_cell_length_b 6.484
_cell_length_c 6.484
_cell_angle_alpha 90.00
_cell_angle_beta 90.00
_cell_angle_gamma 90.00
_symmetry_space_group_name_H-M 'F m -3 m'
_symmetry_Int_Tables_number 225
_symmetry_space_group_name_Hall '-F 4 2 3'
loop_
_atom_site_label
_atom_site_type_symbol
_atom_site_fract_x
_atom_site_fract_y
_atom_site_fract_z
_atom_site_occupancy
Ge1 Ge 0.000 0.000 0.000 1
Sb1 Sb 0.000 0.000 0.500 1
W1 W 0.250 0.250 0.250 1
```

Most stable: <ii>